Entry 1:
Compound: TaCdAg3
Source: Alexandria via LeMat-Bulk
Functional: GGA-PBE
Structure: relaxed Values from VASP.

SG: Pm-3m
Formation energy from the elements: 1.450 eV/atom

```
&SYSTEM
  ibrav = 0, nat = 5, ntyp = 3
/
ATOMIC_SPECIES
Ta 180.95 Ta.upf
Cd 112.41 Cd.upf
Ag 107.87 Ag.upf
ATOMIC_POSITIONS crystal
Ta 0.500 0.500 0.500
Cd 0.000 0.000 0.000
Ag 0.000 0.500 0.000
Ag 0.500 0.000 0.000
Ag 0.000 0.000 0.500
CELL_PARAMETERS angstrom
-3.801 -3.198 0.454
2.524 -3.378 -2.664
2.016 -1.801 4.192
```

***

Entry 2:
Compound: LaMg2Cr
Source: Alexandria via LeMat-Bulk
Functional: GGA-PBE
Structure: relaxed Values from VASP.

SG: P2/m
Formation energy from the elements: 0.298 eV/atom

```
&SYSTEM
  ibrav = 0, nat = 4, ntyp = 3
/
ATOMIC_SPECIES
Mg 24.30 Mg.upf
La 138.91 La.upf
Cr 52.00 Cr.upf
ATOMIC_POSITIONS crystal
Mg 0.000 0.427 0.465
Mg 0.000 0.073 0.035
La 0.500 0.750 0.750
Cr 0.500 0.250 0.250
CELL_PARAMETERS angstrom
4.999 0.000 0.000
0.000 3.206 0.006
0.000 1.673 6.181
```

***

Entry 3:
Compound: Y2Ru
Source: Alexandria via LeMat-Bulk
Functional: GGA-PBE
Structure: relaxed Values from VASP.

SG: I4_1/amd
Formation energy from the elements: -0.267 eV/atom

```
&SYSTEM
  ibrav = 0, nat = 6, ntyp = 2
/
ATOMIC_SPECIES
Y 88.91 Y.upf
Ru 101.07 Ru.upf
ATOMIC_POSITIONS crystal
Y 0.561 0.122 0.439
Ru 0.000 0.000 0.000
Y 0.189 0.378 0.311
Y 0.439 0.878 0.561
Y 0.311 0.622 0.189
Ru 0.750 0.500 0.750
CELL_PARAMETERS angstrom
-0.846 2.518 2.112
-11.854 -6.948 0.812
0.836 -1.944 2.653
```

***

Entry 4:
Compound: LaTb2InCo
Source: Alexandria via LeMat-Bulk
Functional: GGA-PBE
Structure: relaxed Values from VASP.

SG: P2_1/m
Formation energy from the elements: -0.253 eV/atom

```
&SYSTEM
  ibrav = 0, nat = 10, ntyp = 4
/
ATOMIC_SPECIES
Tb 158.93 Tb.upf
Co 58.93 Co.upf
La 138.91 La.upf
In 114.82 In.upf
ATOMIC_POSITIONS crystal
Tb 0.250 0.101 0.406
Tb 0.750 0.855 0.052
Co 0.250 0.836 0.759
Co 0.750 0.164 0.241
La 0.250 0.559 0.754
In 0.750 0.290 0.692
In 0.250 0.710 0.308
Tb 0.250 0.145 0.948
Tb 0.750 0.899 0.594
La 0.750 0.441 0.246
CELL_PARAMETERS angstrom
-2.901 3.895 -0.572
-5.724 -3.426 5.706
4.511 3.842 3.291
```

***

Entry 5:
Compound: Tl3Bi2SbSe6
Source: Alexandria via LeMat-Bulk
Functional: GGA-PBE
Structure: relaxed Values from VASP.

SG: C2/m
Energy relative to the elements, uncorrected: -41 kJ per mole of atoms

```
&SYSTEM
  ibrav = 0, nat = 12, ntyp = 4
/
ATOMIC_SPECIES
Se 78.96 Se.upf
Sb 121.76 Sb.upf
Bi 208.98 Bi.upf
Tl 204.38 Tl.upf
ATOMIC_POSITIONS crystal
Se 0.399 0.071 0.214
Sb 0.000 0.000 0.000
Bi 0.666 0.334 0.000
Se 0.255 0.255 0.784
Tl 0.500 0.500 0.500
Se 0.929 0.601 0.786
Tl 0.831 0.169 0.500
Se 0.745 0.745 0.216
Se 0.601 0.929 0.786
Tl 0.169 0.831 0.500
Bi 0.334 0.666 0.000
Se 0.071 0.399 0.214
CELL_PARAMETERS angstrom
-1.639 -0.664 -7.202
3.650 -5.433 3.485
-7.301 -1.263 3.050
```

***

Entry 6:
Compound: Tb2DyAu
Source: Alexandria via LeMat-Bulk
Functional: GGA-PBE
Structure: relaxed Values from VASP.

SG: P4/mmm
Formation energy from the elements: -0.388 eV/atom

```
&SYSTEM
  ibrav = 0, nat = 4, ntyp = 3
/
ATOMIC_SPECIES
Au 196.97 Au.upf
Dy 162.50 Dy.upf
Tb 158.93 Tb.upf
ATOMIC_POSITIONS crystal
Au 0.500 0.500 0.000
Dy 0.500 0.500 0.500
Tb 0.000 0.000 0.208
Tb 0.000 0.000 0.792
CELL_PARAMETERS angstrom
-3.183 -0.001 1.756
1.755 -0.160 3.180
0.177 8.441 0.328
```

***

Entry 7:
Compound: La2PmSn9
Source: Alexandria via LeMat-Bulk
Functional: GGA-PBE
Structure: relaxed Values from VASP.

SG: P4/mmm
Formation energy from the elements: -0.549 eV/atom

```
&SYSTEM
  ibrav = 0, nat = 12, ntyp = 3
/
ATOMIC_SPECIES
Sn 118.71 Sn.upf
La 138.91 La.upf
Pm 145.00 Pm.upf
ATOMIC_POSITIONS crystal
Sn 0.500 0.500 0.000
La 0.000 0.000 0.668
Sn 0.500 0.500 0.668
La 0.000 0.000 0.332
Sn 0.000 0.500 0.836
Sn 0.500 0.500 0.332
Pm 0.000 0.000 0.000
Sn 0.500 0.000 0.836
Sn 0.500 0.000 0.500
Sn 0.500 0.000 0.164
Sn 0.000 0.500 0.164
Sn 0.000 0.500 0.500
CELL_PARAMETERS angstrom
4.805 0.000 0.000
0.000 4.805 0.000
0.000 0.000 14.288
```